Entry 1:
# HoTmHf2N4

HoTmHf2N4 after structural relaxation (PBE, Alexandria).

The space group is I-4m2 (No. 119) and the conventional cell measures 4.680, 4.680 and 9.315 Å, with angles of 90.00, 90.00 and 90.00 degrees. The asymmetric unit holds Ho at (0.000, 0.000, 0.000), Tm at (0.000, 0.500, 0.250), Hf at (0.000, 0.000, 0.500), Hf at (0.000, 0.500, 0.750), N at (0.000, 0.000, 0.259) and N at (0.000, 0.500, 0.507).

The mass density comes out at 12156 kg/m³. The calculation puts the uncorrected formation energy at -1786 meV per atom.

=====

Entry 2:
# Tl3CuCl6

Tl3CuCl6 after structural relaxation (PBE, Alexandria).

The space group is P2_1/c (No. 14) and the conventional cell measures 7.022, 7.390 and 12.655 Å, with angles of 90.00, 123.08 and 90.00 degrees. The asymmetric unit holds Tl at (0.000, 0.000, 0.000), Tl at (0.264, 0.057, 0.748), Cu at (0.500, 0.000, 0.500), Cl at (0.208, 0.000, 0.252), Cl at (0.254, 0.679, 0.022) and Cl at (0.324, 0.218, 0.023).

The mass density comes out at 5367 kg/m³. The calculation puts the uncorrected formation energy at -786 meV per atom. The value obtained for the energy above the most stable polymorph in this dataset is 0 meV per atom.

=====

Entry 3:
# TbPrBe2Pd5

TbPrBe2Pd5 after structural relaxation (PBE, Alexandria).

The space group is P4/mmm (No. 123) and the conventional cell measures 4.091, 4.091 and 9.130 Å, with angles of 90.00, 90.00 and 90.00 degrees. The asymmetric unit holds Tb at (0.000, 0.000, 0.000), Pr at (0.000, 0.000, 0.500), Be at (0.500, 0.500, 0.131), Pd at (0.000, 0.500, 0.251) and Pd at (0.500, 0.500, 0.500).

The mass density comes out at 9235 kg/m³. The value obtained for the formation enthalpy at 0 K is -6.1 eV per formula unit.

=====

Entry 4:
# Rb2PmH4

Rb2PmH4 after structural relaxation (PBE, Alexandria).

The space group is I4/mmm (No. 139) and the conventional cell measures 4.506, 4.506 and 15.204 Å, with angles of 90.00, 90.00 and 90.00 degrees. The asymmetric unit holds Rb at (0.000, 0.000, 0.155), Pm at (0.000, 0.000, 0.500), H at (0.000, 0.000, 0.346) and H at (0.000, 0.500, 0.000).

The mass density comes out at 3443 kg/m³. As for the calculated total energy: -3.083 eV per atom.

=====

Entry 5:
# ScAgHgCl6

ScAgHgCl6 after structural relaxation (PBE, Alexandria).

The space group is P-31c (No. 163) and the conventional cell measures 6.6574, 6.6574 and 12.1266 Å, with angles of 90.00, 90.00 and 120.00 degrees. The asymmetric unit holds Sc at (0.3333, 0.6667, 0.2500), Ag at (0.0000, 0.0000, 0.0000), Hg at (0.3333, 0.6667, 0.7500) and Cl at (0.0233, 0.3615, 0.1295).

The mass density comes out at 4039 kg/m³. The calculation puts the uncorrected formation energy at -1197 meV per atom.

=====

Entry 6:
# ScCoHg4

ScCoHg4 after structural relaxation (PBE, Alexandria).

The space group is F-43m (No. 216) and the conventional cell measures 8.032, 8.032 and 8.032 Å, with angles of 90.00, 90.00 and 90.00 degrees. The asymmetric unit holds Sc at (0.000, 0.000, 0.000), Co at (0.250, 0.250, 0.750) and Hg at (0.125, 0.125, 0.375).

The mass density comes out at 11618 kg/m³. The value obtained for the formation enthalpy at 0 K is 2.3 eV per formula unit.

=====

Entry 7:
# K3AlAu2

K3AlAu2 after structural relaxation (PBE, Alexandria).

The space group is C2/m (No. 12) and the conventional cell measures 18.784, 4.558 and 12.229 Å, with angles of 90.00, 120.05 and 90.00 degrees. The asymmetric unit holds K at (0.046, 0.000, 0.227), K at (0.164, 0.500, 0.001), K at (0.228, 0.000, 0.616), Al at (0.073, 0.500, 0.650), Au at (0.085, 0.500, 0.449) and Au at (0.124, 0.000, 0.763).

The mass density comes out at 3945 kg/m³. The value obtained for the formation enthalpy at 0 K is -1.2 eV per formula unit.

=====

Entry 8:
# LiAg5

LiAg5 after structural relaxation (PBE, Alexandria).

The space group is Cm (No. 8) and the conventional cell measures 10.950, 2.917 and 6.792 Å, with angles of 90.00, 105.40 and 90.00 degrees. The asymmetric unit holds Li at (0.000, 0.000, 0.000), Ag at (0.113, 0.500, 0.730), Ag at (0.165, 0.500, 0.327), Ag at (0.281, 0.000, 0.058), Ag at (0.338, 0.000, 0.671) and Ag at (0.449, 0.500, 0.389).

The mass density comes out at 8673 kg/m³. The value obtained for the formation enthalpy at 0 K is -0.4 eV per formula unit. The value obtained for the energy above the most stable polymorph in this dataset is 12 meV per atom.

=====

Entry 9:
# SmMgAlS4

SmMgAlS4 after structural relaxation (PBE, Alexandria).

The space group is Imma (No. 74) and the conventional cell measures 7.644, 7.649 and 10.739 Å, with angles of 90.00, 90.00 and 90.00 degrees. The asymmetric unit holds Sm at (0.000, 0.000, 0.000), Mg at (0.250, 0.250, 0.250), Al at (0.000, 0.250, 0.628), S at (0.000, 0.007, 0.258) and S at (0.239, 0.250, 0.497).

The mass density comes out at 3490 kg/m³. The calculation puts the uncorrected formation energy at -1440 meV per atom.

=====

Entry 10:
# Rb2Tm2US6

Rb2Tm2US6 after structural relaxation (PBE, Alexandria).

The space group is C2/m (No. 12) and the conventional cell measures 6.909, 11.978 and 8.201 Å, with angles of 90.00, 106.50 and 90.00 degrees. The asymmetric unit holds Rb at (0.000, 0.168, 0.000), Tm at (0.000, 0.333, 0.500), U at (0.000, 0.000, 0.500), S at (0.228, 0.167, 0.685) and S at (0.231, 0.500, 0.684).

The mass density comes out at 4793 kg/m³. The calculation puts the uncorrected formation energy at -1740 meV per atom.

=====

Entry 11:
# Sm3ZrZn4

Sm3ZrZn4 after structural relaxation (PBE, Alexandria).

The space group is P4/mmm (No. 123) and the conventional cell measures 3.554, 3.554 and 14.313 Å, with angles of 90.00, 90.00 and 90.00 degrees. The asymmetric unit holds Sm at (0.000, 0.000, 0.000), Sm at (0.000, 0.000, 0.262), Zr at (0.000, 0.000, 0.500), Zn at (0.500, 0.500, 0.129) and Zn at (0.500, 0.500, 0.396).

The mass density comes out at 7384 kg/m³. The value obtained for the formation enthalpy at 0 K is -2.2 eV per formula unit.

=====

Entry 12:
# NiTeAs2

NiTeAs2 after structural relaxation (PBE, Alexandria).

The space group is P4/mmm (No. 123) and the conventional cell measures 4.754, 4.754 and 3.390 Å, with angles of 90.00, 90.00 and 90.00 degrees. The asymmetric unit holds Ni at (0.000, 0.000, 0.000), Te at (0.500, 0.500, 0.000) and As at (0.000, 0.500, 0.500).

The mass density comes out at 7286 kg/m³. The calculation puts the uncorrected formation energy at 543 meV per atom.